This record from Alexandria via LeMat-Bulk describes TbScGa after structural relaxation. The functional is PBE.

Output
formation energy: -0.328 eV per atom
total magnetization: 0.000 μB per atom
offset from the most stable computed form: 0.1236 eV per atom

Cell: 4.821 4.821 3.603 Å, 90.00 90.00 120.00°
Positions (direct):
Tb: 0.000 0.000 0.000
Sc: 0.667 0.333 0.499
Ga: 0.333 0.667 0.502